Entry 1:
A plane-wave DFT calculation with PBE was carried out for a relaxed structure of AlSiTe4.

Properties
ΔE_f (raw): 0.758 eV/atom
polymorph energy (0 for the lowest one): 85.13 kJ/mol of atoms

a = 8.917 Å, b = 8.917 Å, c = 8.917 Å
α = 90.00°, β = 90.00°, γ = 90.00°
Space group F-43m (No. 216)
Asymmetric unit:
1 Al 0.000 0.000 0.000 x4
2 Si 0.250 0.250 0.750 x4
3 Te 0.125 0.125 0.375 x16


Entry 2:
A plane-wave DFT calculation with PBE was carried out for a relaxed structure of Ti6Ni2Pt.

Properties
ΔH_f (0 K): -390 meV/atom

a = 7.778 Å, b = 7.857 Å, c = 9.229 Å
α = 90.00°, β = 90.00°, γ = 90.00°
Space group Immm (No. 71)
Asymmetric unit:
1 Ti 0.000 0.195 0.241 x8
2 Ti 0.203 0.303 0.500 x8
3 Ti 0.206 0.500 0.172 x8
4 Ni 0.000 0.344 0.000 x4
5 Ni 0.000 0.500 0.371 x4
6 Pt 0.000 0.000 0.000 x2
7 Pt 0.000 0.000 0.500 x2


Entry 3:
A plane-wave DFT calculation with PBE was carried out for a relaxed structure of KYSn.

Properties
polymorph energy (0 for the lowest one): 19.52 kJ/mol of atoms
ΔH_f (0 K): -194 meV/atom

a = 7.563 Å, b = 4.978 Å, c = 7.389 Å
α = 90.00°, β = 119.17°, γ = 90.00°
Space group P2/c (No. 13)
Asymmetric unit:
1 K 0.000 0.003 0.250 x2
2 Y 0.500 0.500 0.000 x2
3 Sn 0.500 0.000 0.250 x2


Entry 4:
A plane-wave DFT calculation with PBE was carried out for a relaxed structure of YBH2O4.

a = 4.013 Å, b = 5.394 Å, c = 5.948 Å
α = 90.00°, β = 90.00°, γ = 90.00°
Space group I222 (No. 23)
Asymmetric unit:
1 Y 0.000 0.000 0.000 x2
2 B 0.000 0.000 0.500 x2
3 H 0.000 0.500 0.152 x4
4 O 0.240 0.135 0.349 x8


Entry 5:
A plane-wave DFT calculation with PBE was carried out for a relaxed structure of HgBi4Pb7.

Properties
polymorph energy (0 for the lowest one): 0.62 kJ/mol of atoms
ΔH_f (0 K): 85 meV/atom

a = 4.7306 Å, b = 4.7306 Å, c = 21.2002 Å
α = 90.00°, β = 90.00°, γ = 120.00°
Space group P-3m1 (No. 164)
Asymmetric unit:
1 Hg 0.0000 0.0000 0.0000 x1
2 Bi 0.3333 0.6667 0.1597 x2
3 Bi 0.3333 0.6667 0.4125 x2
4 Pb 0.0000 0.0000 0.2404 x2
5 Pb 0.0000 0.0000 0.5000 x1
6 Pb 0.3333 0.6667 0.6653 x2
7 Pb 0.3333 0.6667 0.9259 x2


Entry 6:
A plane-wave DFT calculation with PBE was carried out for a relaxed structure of Ge2HRh.

a = 4.558 Å, b = 4.558 Å, c = 11.962 Å
α = 90.00°, β = 90.00°, γ = 90.00°
Space group I-42d (No. 122)
Asymmetric unit:
1 Ge 0.169 0.250 0.125 x8
2 H 0.000 0.000 0.000 x4
3 Rh 0.000 0.000 0.500 x4


no.,size of the total moment (Bohr magnetons per cell),uncorrected energy (eV/atom),DOS at the Fermi energy (states/eV/atom)
1,1.82,-2.8643,0.76
2,0.00,-7.6089,1.34
3,0.51,-4.0484,0.71
4,0.00,-7.0796,0.00
5,0.00,-3.3969,0.55
6,0.00,-4.7277,0.35